(1)
Material: Zn2SiW
Method: DFT, PBE-GGA
State: relaxed

Summary:
- formation energy (no corrections) (eV/atom) = 0.137

```
Zn2SiW
1.0
4.316 0.000 0.000
0.000 2.666 -0.018
0.000 0.044 5.074
Si W Zn
1 1 2
Direct
0.000 0.248 0.522
0.500 0.751 0.732
0.000 0.249 0.006
0.500 0.253 0.240
```


(2)
Material: ZrIr2Se
Method: DFT, PBE-GGA
State: relaxed

Summary:
- formation energy (no corrections) (eV/atom) = -0.047

```
ZrIr2Se
1.0
-2.278 -1.789 -3.551
1.456 -3.894 -1.929
-2.409 -3.862 0.534
Ir Se Zr
2 1 1
Direct
0.000 0.000 0.000
0.750 0.750 0.750
0.500 0.500 0.500
0.250 0.250 0.250
```


(3)
Material: Ce2DyTe3
Method: DFT, PBE-GGA
State: relaxed

Summary:
- ΔE to the lowest computed polymorph (eV per atom) = 0.005
- formation energy (no corrections) (eV/atom) = -1.341

```
Ce2DyTe3
1.0
-1.765 0.649 -6.000
6.741 -5.066 -2.531
-4.693 -4.512 4.188
Ce Dy Te
4 2 6
Direct
0.670 0.585 0.340
0.670 0.085 0.340
0.330 0.915 0.660
0.330 0.415 0.660
0.000 0.750 0.000
0.000 0.250 0.000
0.500 0.250 0.000
0.500 0.750 0.000
0.160 0.080 0.320
0.840 0.420 0.680
0.160 0.580 0.320
0.840 0.920 0.680
```


(4)
Material: Pa2GeS
Method: DFT, PBE-GGA
State: relaxed

Summary:
- ΔE to the lowest computed polymorph (eV per atom) = 0.277
- formation energy (no corrections) (eV/atom) = -0.766

```
Pa2GeS
1.0
-2.945 1.708 0.479
-1.762 -2.709 -1.172
-0.419 -2.548 6.519
Ge Pa S
1 2 1
Direct
0.500 0.500 0.500
0.000 0.000 0.751
0.000 0.000 0.249
0.500 0.500 0.000
```


(5)
Material: LaMnTc2Pt
Method: DFT, PBE-GGA
State: relaxed

Summary:
- formation energy (kJ per mole of atoms) = 81

```
LaMnTc2Pt
1.0
-2.859 -2.567 2.993
3.757 -2.600 1.359
0.901 3.175 3.582
Mn Tc Pt La
1 2 1 1
Direct
0.000 0.500 0.000
0.000 0.000 0.500
0.500 0.000 0.000
0.000 0.000 0.000
0.500 0.500 0.500
```


(6)
Material: AcCeTiN3
Method: DFT, PBE-GGA
State: relaxed

Summary:
- formation energy (no corrections) (eV/atom) = -1.233

```
AcCeTiN3
1.0
3.663 0.000 0.000
0.000 7.654 0.822
0.000 -2.069 7.575
Ac Ce Ti N
2 2 2 6
Direct
0.750 0.829 0.822
0.250 0.171 0.178
0.250 0.634 0.166
0.750 0.366 0.834
0.250 0.101 0.599
0.750 0.899 0.401
0.250 0.844 0.484
0.750 0.887 0.153
0.750 0.412 0.125
0.750 0.156 0.516
0.250 0.588 0.875
0.250 0.113 0.847
```


(7)
Material: CsPm2AgI8
Method: DFT, PBE-GGA
State: relaxed

Summary:
- formation energy (no corrections) (eV/atom) = -1.204

```
CsPm2AgI8
1.0
-3.159 4.440 6.387
-3.127 -4.721 8.419
8.384 2.541 3.040
Cs Pm Ag I
1 2 1 8
Direct
0.000 0.000 0.500
0.509 0.523 0.758
0.491 0.477 0.242
0.000 0.000 0.000
0.078 0.630 0.274
0.498 0.713 0.060
0.935 0.247 0.195
0.922 0.370 0.726
0.502 0.287 0.940
0.065 0.753 0.805
0.526 0.695 0.500
0.474 0.305 0.500
```


(8)
Material: Na2CdSiHg
Method: DFT, PBE-GGA
State: relaxed

Summary:
- formation energy (no corrections) (eV/atom) = 0.274

```
Na2CdSiHg
1.0
5.932 0.000 0.000
0.000 4.684 0.000
0.000 0.000 5.932
Na Si Hg Cd
2 1 1 1
Direct
0.000 0.000 0.500
0.500 0.000 0.000
0.000 0.500 0.000
0.500 0.500 0.500
0.000 0.000 0.000
```


| no. | energy (eV/atom) | N(E_F) (states/eV/f.u.) |
| --- | --- | --- |
| 1 | -5.09 | 1.27 |
| 2 | -7.49 | 5.45 |
| 3 | -5.66 | 14.57 |
| 4 | -7.70 | 7.20 |
| 5 | -7.34 | 5.39 |
| 6 | -8.38 | 3.88 |
| 7 | -3.34 | 0.00 |
| 8 | -1.58 | 0.63 |